Below is a relaxed structure of MnZn2Pb, with properties calculated at the GGA-PBE level.

Cell lengths 5.2828, 5.2828, 5.2828 Å; angles 134.49, 134.49, 66.32 degrees
Sites, in units of the cell vectors:
Mn: 0.0000 0.0000 0.0000
Zn: 0.2500 0.7500 0.5000
Zn: 0.7500 0.2500 0.5000
Pb: 0.5000 0.5000 0.0000

Output
- ΔH_f (0 K): 0.30 eV/atom
- Symmetry: I4/mmm

Below is a relaxed structure of TaBe2NiH, with properties calculated at the GGA-PBE level.

Cell lengths 3.8468, 3.8468, 4.6270 Å; angles 90.00, 90.00, 90.00 degrees
Sites, in units of the cell vectors:
Ta: 0.0000 0.0000 0.0000
Be: 0.0000 0.5000 0.5000
Be: 0.5000 0.0000 0.5000
Ni: 0.0000 0.0000 0.5000
H: 0.5000 0.5000 0.0000

Output
- E: -23.8 eV/cell
- Symmetry: P4/mmm

Below is a relaxed structure of DyHgCl6, with properties calculated at the GGA-PBE level.

Cell lengths 6.6271, 6.7864, 6.8503 Å; angles 61.44, 89.03, 67.38 degrees
Sites, in units of the cell vectors:
Dy: 0.0000 0.0000 0.0000
Hg: 0.5000 0.0000 0.5000
Cl: 0.0503 0.5332 0.1697
Cl: 0.2363 0.8096 0.3947
Cl: 0.3972 0.8681 0.8708
Cl: 0.6028 0.1319 0.1292
Cl: 0.7637 0.1904 0.6053
Cl: 0.9497 0.4668 0.8303

Output
- Formation energy (no corrections): -1.201 eV per atom
- Symmetry: P-1